1.
{"formula": "CaGa2CoAg", "functional": "PBE-GGA", "state": "optimized geometry", "dos_ef_per_ev_cell": 2.05, "total_magnetization_mub_per_cell": 0.00, "e_form_ev_per_atom": -0.19, "lattice_angstrom": [[-0.763, 3.711, -2.455], [-4.003, -1.660, -1.265], [-2.174, 2.197, 3.997]], "species": ["Ca", "Co", "Ga", "Ga", "Ag"], "frac_coords": [[0.500, 0.500, 0.500], [0.000, 0.000, 0.000], [0.000, 0.500, 0.000], [0.500, 0.000, 0.000], [0.000, 0.000, 0.500]]}

2.
{"formula": "CaCoAgGe", "functional": "PBE-GGA", "state": "optimized geometry", "dos_ef_per_ev_cell": 3.82, "total_magnetization_mub_per_cell": 0.00, "e_form_ev_per_atom": -0.32, "lattice_angstrom": [[3.945, 0.000, 0.000], [0.000, 3.945, 0.000], [0.000, 0.000, 10.217]], "species": ["Ca", "Ca", "Co", "Co", "Ag", "Ag", "Ge", "Ge"], "frac_coords": [[0.750, 0.750, 0.246], [0.250, 0.250, 0.754], [0.750, 0.250, 0.000], [0.250, 0.750, 0.000], [0.250, 0.750, 0.500], [0.750, 0.250, 0.500], [0.750, 0.750, 0.876], [0.250, 0.250, 0.124]]}

3.
{"formula": "Ca2CoAgH6", "functional": "PBE-GGA", "state": "optimized geometry", "dos_ef_per_ev_cell": 2.87, "total_energy_ev_per_cell": -37.038, "total_magnetization_mub_per_cell": 0.00, "lattice_angstrom": [[5.122, 0.000, 0.000], [0.000, 4.943, 0.000], [0.000, -2.472, 4.281]], "species": ["Ca", "Ca", "Co", "Ag", "H", "H", "H", "H", "H", "H"], "frac_coords": [[0.205, 0.333, 0.667], [0.795, 0.667, 0.333], [0.000, 0.000, 0.000], [0.500, 0.000, 0.000], [0.823, 0.160, 0.320], [0.823, 0.160, 0.840], [0.823, 0.680, 0.840], [0.177, 0.840, 0.160], [0.177, 0.320, 0.160], [0.177, 0.840, 0.680]]}

4.
{"formula": "Ca2CoAgH", "functional": "PBE-GGA", "state": "optimized geometry", "dos_ef_per_ev_cell": 2.66, "total_energy_ev_per_cell": -17.867, "total_magnetization_mub_per_cell": 0.66, "lattice_angstrom": [[-4.842, -0.913, -1.281], [0.307, -4.616, 2.128], [-1.062, 1.340, 3.059]], "species": ["H", "Ca", "Ca", "Co", "Ag"], "frac_coords": [[0.000, 0.000, 0.000], [0.000, 0.500, 0.000], [0.500, 0.000, 0.000], [0.000, 0.000, 0.500], [0.500, 0.500, 0.500]]}

5.
{"formula": "Ca2HfCoAg", "functional": "PBE-GGA", "state": "optimized geometry", "dos_ef_per_ev_cell": 6.18, "total_magnetization_mub_per_cell": 0.00, "e_form_ev_per_atom": 0.79, "lattice_angstrom": [[4.953, 0.000, 0.000], [0.000, 5.051, 0.000], [0.000, 0.000, 4.953]], "species": ["Co", "Ca", "Ca", "Hf", "Ag"], "frac_coords": [[0.000, 0.000, 0.000], [0.000, 0.000, 0.500], [0.500, 0.000, 0.000], [0.500, 0.500, 0.500], [0.000, 0.500, 0.000]]}

6.
{"formula": "CaHf2CoAg", "functional": "PBE-GGA", "state": "optimized geometry", "dos_ef_per_ev_cell": 5.55, "total_magnetization_mub_per_cell": 1.98, "e_form_ev_per_atom": 2.04, "lattice_angstrom": [[-0.414, 4.965, 0.928], [-4.447, -0.031, -1.817], [-1.872, -1.015, 4.599]], "species": ["Co", "Ca", "Hf", "Hf", "Ag"], "frac_coords": [[0.500, 0.500, 0.500], [0.000, 0.000, 0.000], [0.000, 0.000, 0.500], [0.500, 0.000, 0.000], [0.000, 0.500, 0.000]]}